VASP calculation (GGA+U) on a relaxed FeReN2O crystal.

## Properties
- V (Å³/atom) = 10.36
- M_tot (Bohr magnetons per cell) = 4.334
- total DFT energy (no corrections) (eV/atom) = -6.58

The structure in POSCAR format:
```
FeReN2O
1.0
3.772 0.000 0.000
0.000 3.772 0.000
0.000 0.000 3.639
Fe Re N O
1 1 2 1
direct
0.000 0.000 0.000
0.500 0.500 0.500
0.000 0.500 0.000
0.500 0.000 0.000
0.000 0.000 0.500
```